No. 1
A crystal of Sc2Ag relaxed with PBEsol, computed with SCAN.

* space group: P-62m, No. 189
* formation energy: -67 kJ/mol of formula units
* size of the total moment: 0.0 μB per formula unit

```
data_Sc2Ag
_cell_length_a 6.966
_cell_length_b 6.966
_cell_length_c 4.572
_cell_angle_alpha 90.00
_cell_angle_beta 90.00
_cell_angle_gamma 120.00
_space_group_name_H-M_alt 'P 1'
_space_group_IT_number 1
loop_
_space_group_symop_operation_xyz
'x,y,z'
loop_
_atom_site_label
_atom_site_type_symbol
_atom_site_fract_x
_atom_site_fract_y
_atom_site_fract_z
Sc1 Sc 0.000 0.256 0.000
Sc2 Sc 0.000 0.587 0.500
Sc3 Sc 0.256 0.000 0.000
Sc4 Sc 0.413 0.413 0.500
Sc5 Sc 0.587 0.000 0.500
Sc6 Sc 0.744 0.744 0.000
Ag1 Ag 0.000 0.000 0.500
Ag2 Ag 0.333 0.667 0.000
Ag3 Ag 0.667 0.333 0.000
```



No. 2
A crystal of Sc5Ag24 relaxed with PBEsol, computed with SCAN.

* space group: I-43m, No. 217
* formation energy: -276 kJ/mol of formula units
* size of the total moment: 0.0 μB per formula unit

```
data_Sc5Ag24
_cell_length_a 8.710
_cell_length_b 8.710
_cell_length_c 8.710
_cell_angle_alpha 109.47
_cell_angle_beta 109.47
_cell_angle_gamma 109.47
_space_group_name_H-M_alt 'P 1'
_space_group_IT_number 1
loop_
_space_group_symop_operation_xyz
'x,y,z'
loop_
_atom_site_label
_atom_site_type_symbol
_atom_site_fract_x
_atom_site_fract_y
_atom_site_fract_z
Sc1 Sc 0.000 0.000 0.000
Sc2 Sc 0.000 0.000 0.630
Sc3 Sc 0.000 0.630 0.000
Sc4 Sc 0.370 0.370 0.370
Sc5 Sc 0.630 0.000 0.000
Ag1 Ag 0.000 0.190 0.375
Ag2 Ag 0.000 0.375 0.190
Ag3 Ag 0.000 0.405 0.681
Ag4 Ag 0.000 0.681 0.405
Ag5 Ag 0.185 0.810 0.810
Ag6 Ag 0.190 0.000 0.375
Ag7 Ag 0.190 0.375 0.000
Ag8 Ag 0.275 0.595 0.595
Ag9 Ag 0.319 0.319 0.725
Ag10 Ag 0.319 0.725 0.319
Ag11 Ag 0.375 0.000 0.190
Ag12 Ag 0.375 0.190 0.000
Ag13 Ag 0.405 0.000 0.681
Ag14 Ag 0.405 0.681 0.000
Ag15 Ag 0.595 0.275 0.595
Ag16 Ag 0.595 0.595 0.275
Ag17 Ag 0.625 0.625 0.815
Ag18 Ag 0.625 0.815 0.625
Ag19 Ag 0.681 0.000 0.405
Ag20 Ag 0.681 0.405 0.000
Ag21 Ag 0.725 0.319 0.319
Ag22 Ag 0.810 0.185 0.810
Ag23 Ag 0.810 0.810 0.185
Ag24 Ag 0.815 0.625 0.625
```



No. 3
A crystal of Sc2Ag relaxed with PBEsol, computed with SCAN.

* space group: Fd-3m, No. 227
* formation energy: -83 kJ/mol of formula units
* size of the total moment: 0.0 μB per formula unit

```
data_Sc2Ag
_cell_length_a 8.900
_cell_length_b 8.900
_cell_length_c 8.900
_cell_angle_alpha 60.00
_cell_angle_beta 60.00
_cell_angle_gamma 60.00
_space_group_name_H-M_alt 'P 1'
_space_group_IT_number 1
loop_
_space_group_symop_operation_xyz
'x,y,z'
loop_
_atom_site_label
_atom_site_type_symbol
_atom_site_fract_x
_atom_site_fract_y
_atom_site_fract_z
Sc1 Sc 0.000 0.000 0.000
Sc2 Sc 0.000 0.000 0.500
Sc3 Sc 0.000 0.500 0.000
Sc4 Sc 0.191 0.191 0.559
Sc5 Sc 0.191 0.559 0.191
Sc6 Sc 0.191 0.559 0.559
Sc7 Sc 0.441 0.441 0.809
Sc8 Sc 0.441 0.809 0.441
Sc9 Sc 0.441 0.809 0.809
Sc10 Sc 0.500 0.000 0.000
Sc11 Sc 0.559 0.191 0.191
Sc12 Sc 0.559 0.191 0.559
Sc13 Sc 0.559 0.559 0.191
Sc14 Sc 0.809 0.441 0.441
Sc15 Sc 0.809 0.441 0.809
Sc16 Sc 0.809 0.809 0.441
Ag1 Ag 0.141 0.786 0.786
Ag2 Ag 0.214 0.214 0.214
Ag3 Ag 0.214 0.214 0.859
Ag4 Ag 0.214 0.859 0.214
Ag5 Ag 0.786 0.141 0.786
Ag6 Ag 0.786 0.786 0.141
Ag7 Ag 0.786 0.786 0.786
Ag8 Ag 0.859 0.214 0.214
```



No. 4
A crystal of Sc5Ag4 relaxed with PBEsol, computed with SCAN.

* space group: P6_3/mcm, No. 193
* formation energy: -211 kJ/mol of formula units
* size of the total moment: 0.0 μB per formula unit

```
data_Sc5Ag4
_cell_length_a 8.461
_cell_length_b 8.461
_cell_length_c 5.820
_cell_angle_alpha 90.00
_cell_angle_beta 90.00
_cell_angle_gamma 120.00
_space_group_name_H-M_alt 'P 1'
_space_group_IT_number 1
loop_
_space_group_symop_operation_xyz
'x,y,z'
loop_
_atom_site_label
_atom_site_type_symbol
_atom_site_fract_x
_atom_site_fract_y
_atom_site_fract_z
Sc1 Sc 0.000 0.293 0.250
Sc2 Sc 0.000 0.707 0.750
Sc3 Sc 0.293 0.000 0.250
Sc4 Sc 0.293 0.293 0.750
Sc5 Sc 0.333 0.667 0.000
Sc6 Sc 0.333 0.667 0.500
Sc7 Sc 0.667 0.333 0.000
Sc8 Sc 0.667 0.333 0.500
Sc9 Sc 0.707 0.000 0.750
Sc10 Sc 0.707 0.707 0.250
Ag1 Ag 0.000 0.000 0.000
Ag2 Ag 0.000 0.000 0.500
Ag3 Ag 0.000 0.382 0.750
Ag4 Ag 0.000 0.618 0.250
Ag5 Ag 0.382 0.000 0.750
Ag6 Ag 0.382 0.382 0.250
Ag7 Ag 0.618 0.000 0.250
Ag8 Ag 0.618 0.618 0.750
```



No. 5
A crystal of Sc5Ag3 relaxed with PBEsol, computed with SCAN.

* space group: I4/mcm, No. 140
* formation energy: -170 kJ/mol of formula units
* size of the total moment: 0.0 μB per formula unit

```
data_Sc5Ag3
_cell_length_a 8.216
_cell_length_b 8.216
_cell_length_c 8.216
_cell_angle_alpha 96.40
_cell_angle_beta 96.40
_cell_angle_gamma 141.00
_space_group_name_H-M_alt 'P 1'
_space_group_IT_number 1
loop_
_space_group_symop_operation_xyz
'x,y,z'
loop_
_atom_site_label
_atom_site_type_symbol
_atom_site_fract_x
_atom_site_fract_y
_atom_site_fract_z
Sc1 Sc 0.080 0.783 0.863
Sc2 Sc 0.217 0.080 0.297
Sc3 Sc 0.250 0.750 0.500
Sc4 Sc 0.283 0.580 0.863
Sc5 Sc 0.420 0.283 0.703
Sc6 Sc 0.580 0.717 0.297
Sc7 Sc 0.717 0.420 0.137
Sc8 Sc 0.750 0.250 0.500
Sc9 Sc 0.783 0.920 0.703
Sc10 Sc 0.920 0.217 0.137
Ag1 Ag 0.164 0.336 0.500
Ag2 Ag 0.250 0.250 0.000
Ag3 Ag 0.336 0.836 0.172
Ag4 Ag 0.664 0.164 0.828
Ag5 Ag 0.750 0.750 0.000
Ag6 Ag 0.836 0.664 0.500
```



No. 6
A crystal of Sc4Ag3 relaxed with PBEsol, computed with SCAN.

* space group: I4/mmm, No. 139
* formation energy: -163 kJ/mol of formula units
* size of the total moment: 2.9 μB per formula unit

```
data_Sc4Ag3
_cell_length_a 12.208
_cell_length_b 12.208
_cell_length_c 12.208
_cell_angle_alpha 163.86
_cell_angle_beta 163.86
_cell_angle_gamma 22.91
_space_group_name_H-M_alt 'P 1'
_space_group_IT_number 1
loop_
_space_group_symop_operation_xyz
'x,y,z'
loop_
_atom_site_label
_atom_site_type_symbol
_atom_site_fract_x
_atom_site_fract_y
_atom_site_fract_z
Sc1 Sc 0.070 0.070 0.000
Sc2 Sc 0.344 0.344 0.000
Sc3 Sc 0.656 0.656 0.000
Sc4 Sc 0.930 0.930 0.000
Ag1 Ag 0.218 0.218 0.000
Ag2 Ag 0.500 0.500 0.000
Ag3 Ag 0.782 0.782 0.000
```



No. 7
A crystal of Sc2Ag relaxed with PBEsol, computed with SCAN.

* space group: P-3m1, No. 164
* formation energy: -1 kJ/mol of formula units
* size of the total moment: 0.9 μB per formula unit

```
data_Sc2Ag
_cell_length_a 3.160
_cell_length_b 3.160
_cell_length_c 7.228
_cell_angle_alpha 90.00
_cell_angle_beta 90.00
_cell_angle_gamma 120.00
_space_group_name_H-M_alt 'P 1'
_space_group_IT_number 1
loop_
_space_group_symop_operation_xyz
'x,y,z'
loop_
_atom_site_label
_atom_site_type_symbol
_atom_site_fract_x
_atom_site_fract_y
_atom_site_fract_z
Sc1 Sc 0.333 0.667 0.321
Sc2 Sc 0.667 0.333 0.679
Ag1 Ag 0.000 0.000 0.000
```



No. 8
A crystal of Sc5Ag3 relaxed with PBEsol, computed with SCAN.

* space group: P6_3/mcm, No. 193
* formation energy: -185 kJ/mol of formula units
* size of the total moment: 0.0 μB per formula unit

```
data_Sc5Ag3
_cell_length_a 8.303
_cell_length_b 8.303
_cell_length_c 5.496
_cell_angle_alpha 90.00
_cell_angle_beta 90.00
_cell_angle_gamma 120.00
_space_group_name_H-M_alt 'P 1'
_space_group_IT_number 1
loop_
_space_group_symop_operation_xyz
'x,y,z'
loop_
_atom_site_label
_atom_site_type_symbol
_atom_site_fract_x
_atom_site_fract_y
_atom_site_fract_z
Sc1 Sc 0.000 0.237 0.250
Sc2 Sc 0.000 0.763 0.750
Sc3 Sc 0.237 0.000 0.250
Sc4 Sc 0.237 0.237 0.750
Sc5 Sc 0.333 0.667 0.000
Sc6 Sc 0.333 0.667 0.500
Sc7 Sc 0.667 0.333 0.000
Sc8 Sc 0.667 0.333 0.500
Sc9 Sc 0.763 0.000 0.750
Sc10 Sc 0.763 0.763 0.250
Ag1 Ag 0.000 0.403 0.750
Ag2 Ag 0.000 0.597 0.250
Ag3 Ag 0.403 0.000 0.750
Ag4 Ag 0.403 0.403 0.250
Ag5 Ag 0.597 0.000 0.250
Ag6 Ag 0.597 0.597 0.750
```



No. 9
A crystal of Sc7Ag relaxed with PBEsol, computed with SCAN.

* space group: Fm-3m, No. 225
* formation energy: 30 kJ/mol of formula units
* size of the total moment: 0.0 μB per formula unit

```
data_Sc7Ag
_cell_length_a 6.310
_cell_length_b 6.310
_cell_length_c 6.310
_cell_angle_alpha 60.00
_cell_angle_beta 60.00
_cell_angle_gamma 60.00
_space_group_name_H-M_alt 'P 1'
_space_group_IT_number 1
loop_
_space_group_symop_operation_xyz
'x,y,z'
loop_
_atom_site_label
_atom_site_type_symbol
_atom_site_fract_x
_atom_site_fract_y
_atom_site_fract_z
Sc1 Sc 0.000 0.000 0.000
Sc2 Sc 0.000 0.000 0.500
Sc3 Sc 0.000 0.500 0.000
Sc4 Sc 0.000 0.500 0.500
Sc5 Sc 0.500 0.000 0.000
Sc6 Sc 0.500 0.000 0.500
Sc7 Sc 0.500 0.500 0.000
Ag1 Ag 0.500 0.500 0.500
```



No. 10
A crystal of Sc4Ag relaxed with PBEsol, computed with SCAN.

* space group: I4/mmm, No. 139
* formation energy: -32 kJ/mol of formula units
* size of the total moment: 0.0 μB per formula unit

```
data_Sc4Ag
_cell_length_a 10.880
_cell_length_b 10.880
_cell_length_c 10.880
_cell_angle_alpha 163.06
_cell_angle_beta 163.06
_cell_angle_gamma 24.05
_space_group_name_H-M_alt 'P 1'
_space_group_IT_number 1
loop_
_space_group_symop_operation_xyz
'x,y,z'
loop_
_atom_site_label
_atom_site_type_symbol
_atom_site_fract_x
_atom_site_fract_y
_atom_site_fract_z
Sc1 Sc 0.088 0.088 0.000
Sc2 Sc 0.303 0.303 0.000
Sc3 Sc 0.697 0.697 0.000
Sc4 Sc 0.912 0.912 0.000
Ag1 Ag 0.500 0.500 0.000
```



No. 11
A crystal of ScAg7 relaxed with PBEsol, computed with SCAN.

* space group: Fm-3m, No. 225
* formation energy: -21 kJ/mol of formula units
* size of the total moment: 0.0 μB per formula unit

```
data_ScAg7
_cell_length_a 5.782
_cell_length_b 5.782
_cell_length_c 5.782
_cell_angle_alpha 60.00
_cell_angle_beta 60.00
_cell_angle_gamma 60.00
_space_group_name_H-M_alt 'P 1'
_space_group_IT_number 1
loop_
_space_group_symop_operation_xyz
'x,y,z'
loop_
_atom_site_label
_atom_site_type_symbol
_atom_site_fract_x
_atom_site_fract_y
_atom_site_fract_z
Sc1 Sc 0.000 0.000 0.000
Ag1 Ag 0.000 0.000 0.500
Ag2 Ag 0.000 0.500 0.000
Ag3 Ag 0.000 0.500 0.500
Ag4 Ag 0.500 0.000 0.000
Ag5 Ag 0.500 0.000 0.500
Ag6 Ag 0.500 0.500 0.000
Ag7 Ag 0.500 0.500 0.500
```



No. 12
A crystal of Sc2Ag relaxed with PBEsol, computed with SCAN.

* space group: Cmcm, No. 63
* formation energy: -64 kJ/mol of formula units
* size of the total moment: 0.0 μB per formula unit

```
data_Sc2Ag
_cell_length_a 7.826
_cell_length_b 7.826
_cell_length_c 4.853
_cell_angle_alpha 90.00
_cell_angle_beta 90.00
_cell_angle_gamma 155.42
_space_group_name_H-M_alt 'P 1'
_space_group_IT_number 1
loop_
_space_group_symop_operation_xyz
'x,y,z'
loop_
_atom_site_label
_atom_site_type_symbol
_atom_site_fract_x
_atom_site_fract_y
_atom_site_fract_z
Sc1 Sc 0.086 0.914 0.750
Sc2 Sc 0.225 0.775 0.250
Sc3 Sc 0.775 0.225 0.750
Sc4 Sc 0.914 0.086 0.250
Ag1 Ag 0.429 0.571 0.750
Ag2 Ag 0.571 0.429 0.250
```



Computed V (Å³/atom) in order:
21.35 17.54 20.77 20.05 20.56 20.09 20.84 20.51 22.21 21.86 17.08 20.61